A plane-wave DFT calculation with PBE-GGA was carried out for an optimized crystal structure of HfZr2BePb.

## Properties
Energy of formation from the pure elements, eV per atom: 1.3616
Mass density, g/cm3: 6.627
DFT total energy, eV/atom: -5.535
Crystal system: tetragonal
Total moment, Bohr magnetons per cell: 0.00

a b c (Å): 5.138 5.138 5.478
angles (deg): 90.00 90.00 90.00
Space group P4/mmm (No. 123)
One atom of each set of equivalent atoms:
Hf 0.000 0.000 0.000 (multiplicity 1)
Zr 0.000 0.500 0.000 (multiplicity 2)
Be 0.500 0.500 0.500 (multiplicity 1)
Pb 0.000 0.000 0.500 (multiplicity 1)

A plane-wave DFT calculation with PBE-GGA was carried out for an optimized crystal structure of HfZrBePb2.

## Properties
Energy of formation from the pure elements, eV per atom: 1.0228
Mass density, g/cm3: 8.342
DFT total energy, eV/atom: -4.906
Crystal system: tetragonal
Total moment, Bohr magnetons per cell: 0.00

a b c (Å): 5.462 5.462 4.625
angles (deg): 90.00 90.00 90.00
Space group P4/mmm (No. 123)
One atom of each set of equivalent atoms:
Hf 0.000 0.000 0.000 (multiplicity 1)
Zr 0.500 0.500 0.500 (multiplicity 1)
Be 0.000 0.000 0.500 (multiplicity 1)
Pb 0.000 0.500 0.000 (multiplicity 2)

A plane-wave DFT calculation with PBE-GGA was carried out for an optimized crystal structure of HfBe4Pd.

## Properties
Energy of formation from the pure elements, eV per atom: -0.2226
Mass density, g/cm3: 7.746
DFT total energy, eV/atom: -5.231
Crystal system: cubic
Total moment, Bohr magnetons per cell: 6.15

a b c (Å): 6.505 6.505 6.505
angles (deg): 90.00 90.00 90.00
Space group F-43m (No. 216)
One atom of each set of equivalent atoms:
Hf 0.000 0.000 0.000 (multiplicity 4)
Be 0.127 0.127 0.627 (multiplicity 16)
Pd 0.250 0.250 0.250 (multiplicity 4)

A plane-wave DFT calculation with PBE-GGA was carried out for an optimized crystal structure of Hf2BePd2.

## Properties
Offset from the most stable computed form, eV/f.u.: 0.00
Energy of formation from the pure elements, eV per atom: -0.3472
Mass density, g/cm3: 10.836
DFT total energy, eV/atom: -7.151
Crystal system: tetragonal
Total moment, Bohr magnetons per cell: 0.00

a b c (Å): 7.112 7.112 3.508
angles (deg): 90.00 90.00 90.00
Space group P4/mbm (No. 127)
One atom of each set of equivalent atoms:
Hf 0.173 0.327 0.000 (multiplicity 4)
Be 0.000 0.000 0.500 (multiplicity 2)
Pd 0.134 0.634 0.500 (multiplicity 4)

A plane-wave DFT calculation with PBE-GGA was carried out for an optimized crystal structure of HfBePd5.

## Properties
Energy of formation from the pure elements, eV per atom: -0.3193
Mass density, g/cm3: 10.380
DFT total energy, eV/atom: -5.983
Crystal system: monoclinic
Total moment, Bohr magnetons per cell: 0.00

a b c (Å): 9.036 6.150 8.979
angles (deg): 90.00 112.67 90.00
Space group C2/c (No. 15)
One atom of each set of equivalent atoms:
Hf 0.000 0.074 0.250 (multiplicity 4)
Be 0.250 0.250 0.000 (multiplicity 4)
Pd 0.000 0.346 0.750 (multiplicity 4)
Pd 0.105 0.342 0.486 (multiplicity 8)
Pd 0.229 0.372 0.236 (multiplicity 8)

A plane-wave DFT calculation with PBE-GGA was carried out for an optimized crystal structure of HfBePd.

## Properties
Offset from the most stable computed form, eV/f.u.: 0.26
Energy of formation from the pure elements, eV per atom: -0.4732
Mass density, g/cm3: 10.794
DFT total energy, eV/atom: -6.764
Crystal system: orthorhombic
Total moment, Bohr magnetons per cell: 0.00

a b c (Å): 5.323 10.604 6.409
angles (deg): 90.00 90.00 90.00
Space group Cmce (No. 64)
One atom of each set of equivalent atoms:
Hf 0.000 0.180 0.078 (multiplicity 8)
Be 0.000 0.091 0.448 (multiplicity 8)
Pd 0.250 0.060 0.750 (multiplicity 8)

A plane-wave DFT calculation with PBE-GGA was carried out for an optimized crystal structure of Hf2BePd.

## Properties
Energy of formation from the pure elements, eV per atom: 0.3854
Mass density, g/cm3: 10.331
DFT total energy, eV/atom: -6.821
Crystal system: tetragonal
Total moment, Bohr magnetons per cell: 0.00

a b c (Å): 4.086 4.086 18.191
angles (deg): 90.00 90.00 90.00
Space group I-42d (No. 122)
One atom of each set of equivalent atoms:
Hf 0.242 0.250 0.125 (multiplicity 8)
Be 0.000 0.000 0.000 (multiplicity 4)
Pd 0.000 0.000 0.500 (multiplicity 4)

A plane-wave DFT calculation with PBE-GGA was carried out for an optimized crystal structure of HfBePd.

## Properties
Offset from the most stable computed form, eV/f.u.: 0.40
Energy of formation from the pure elements, eV per atom: -0.4269
Mass density, g/cm3: 10.519
DFT total energy, eV/atom: -6.718
Crystal system: hexagonal
Total moment, Bohr magnetons per cell: 0.00

a b c (Å): 4.1140 4.1140 3.1656
angles (deg): 90.00 90.00 120.00
Space group P-6m2 (No. 187)
One atom of each set of equivalent atoms:
Hf 0.0000 0.0000 0.0000 (multiplicity 1)
Be 0.6667 0.3333 0.5000 (multiplicity 1)
Pd 0.3333 0.6667 0.5000 (multiplicity 1)

A plane-wave DFT calculation with PBE-GGA was carried out for an optimized crystal structure of Hf3Be2Pd5.

## Properties
Energy of formation from the pure elements, eV per atom: -0.6454
Mass density, g/cm3: 11.582
DFT total energy, eV/atom: -6.973
Crystal system: tetragonal
Total moment, Bohr magnetons per cell: 0.00

a b c (Å): 9.385 9.385 3.535
angles (deg): 90.00 90.00 90.00
Space group P4/mbm (No. 127)
One atom of each set of equivalent atoms:
Hf 0.000 0.000 0.000 (multiplicity 2)
Hf 0.175 0.325 0.000 (multiplicity 4)
Be 0.119 0.619 0.000 (multiplicity 4)
Pd 0.000 0.500 0.500 (multiplicity 2)
Pd 0.069 0.787 0.500 (multiplicity 8)

A plane-wave DFT calculation with PBE-GGA was carried out for an optimized crystal structure of Hf2BePd.

## Properties
Energy of formation from the pure elements, eV per atom: -0.3251
Mass density, g/cm3: 11.609
DFT total energy, eV/atom: -7.532
Crystal system: tetragonal
Total moment, Bohr magnetons per cell: 0.00

a b c (Å): 3.279 3.279 6.284
angles (deg): 90.00 90.00 90.00
Space group P4/mmm (No. 123)
One atom of each set of equivalent atoms:
Hf 0.000 0.000 0.237 (multiplicity 2)
Be 0.500 0.500 0.000 (multiplicity 1)
Pd 0.500 0.500 0.500 (multiplicity 1)

A plane-wave DFT calculation with PBE-GGA was carried out for an optimized crystal structure of HfBePd4.

## Properties
Energy of formation from the pure elements, eV per atom: -0.4893
Mass density, g/cm3: 10.943
DFT total energy, eV/atom: -6.231
Crystal system: monoclinic
Total moment, Bohr magnetons per cell: 0.00

a b c (Å): 8.096 4.752 4.881
angles (deg): 90.00 97.76 90.00
Space group P2_1/c (No. 14)
One atom of each set of equivalent atoms:
Hf 0.000 0.000 0.000 (multiplicity 2)
Be 0.500 0.000 0.500 (multiplicity 2)
Pd 0.176 0.024 0.535 (multiplicity 4)
Pd 0.356 0.540 0.584 (multiplicity 4)

A plane-wave DFT calculation with PBE-GGA was carried out for an optimized crystal structure of Hf2BePd2.

## Properties
Offset from the most stable computed form, eV/f.u.: 1.77
Energy of formation from the pure elements, eV per atom: 0.0075
Mass density, g/cm3: 10.837
DFT total energy, eV/atom: -6.796
Crystal system: tetragonal
Total moment, Bohr magnetons per cell: 0.00

a b c (Å): 4.692 4.692 4.029
angles (deg): 90.00 90.00 90.00
Space group P4/mmm (No. 123)
One atom of each set of equivalent atoms:
Hf 0.000 0.500 0.000 (multiplicity 2)
Be 0.000 0.000 0.000 (multiplicity 1)
Pd 0.000 0.000 0.500 (multiplicity 1)
Pd 0.500 0.500 0.500 (multiplicity 1)

A plane-wave DFT calculation with PBE-GGA was carried out for an optimized crystal structure of HfBePd.

## Properties
Offset from the most stable computed form, eV/f.u.: 0.00
Energy of formation from the pure elements, eV per atom: -0.5593
Mass density, g/cm3: 10.982
DFT total energy, eV/atom: -6.850
Crystal system: hexagonal
Total moment, Bohr magnetons per cell: 0.00

a b c (Å): 6.6385 6.6385 3.4935
angles (deg): 90.00 90.00 120.00
Space group P-62m (No. 189)
One atom of each set of equivalent atoms:
Hf 0.0000 0.4156 0.0000 (multiplicity 3)
Be 0.0000 0.0000 0.0000 (multiplicity 1)
Be 0.3333 0.6667 0.5000 (multiplicity 2)
Pd 0.0000 0.7503 0.5000 (multiplicity 3)

A plane-wave DFT calculation with PBE-GGA was carried out for an optimized crystal structure of Hf2BePd8.

## Properties
Energy of formation from the pure elements, eV per atom: -0.6523
Mass density, g/cm3: 11.684
DFT total energy, eV/atom: -6.577
Crystal system: orthorhombic
Total moment, Bohr magnetons per cell: 0.00

a b c (Å): 4.528 5.738 13.318
angles (deg): 90.00 90.00 90.00
Space group Immm (No. 71)
One atom of each set of equivalent atoms:
Hf 0.000 0.000 0.187 (multiplicity 4)
Be 0.000 0.000 0.500 (multiplicity 2)
Pd 0.000 0.250 0.000 (multiplicity 4)
Pd 0.000 0.254 0.371 (multiplicity 8)
Pd 0.000 0.500 0.185 (multiplicity 4)

A plane-wave DFT calculation with PBE-GGA was carried out for an optimized crystal structure of Rb2HfBePd.

## Properties
Energy of formation from the pure elements, eV per atom: 1.6062
Mass density, g/cm3: 3.523
DFT total energy, eV/atom: -2.555
Crystal system: tetragonal
Total moment, Bohr magnetons per cell: 1.77

a b c (Å): 6.807 6.807 4.729
angles (deg): 90.00 90.00 90.00
Space group P4/mmm (No. 123)
One atom of each set of equivalent atoms:
Rb 0.000 0.500 0.000 (multiplicity 2)
Hf 0.000 0.000 0.000 (multiplicity 1)
Be 0.000 0.000 0.500 (multiplicity 1)
Pd 0.500 0.500 0.500 (multiplicity 1)

A plane-wave DFT calculation with PBE-GGA was carried out for an optimized crystal structure of HfTaBe2Pd.

## Properties
Energy of formation from the pure elements, eV per atom: 0.5420
Mass density, g/cm3: 9.206
DFT total energy, eV/atom: -6.348
Crystal system: tetragonal
Total moment, Bohr magnetons per cell: 0.00

a b c (Å): 4.187 4.187 4.978
angles (deg): 90.00 90.00 90.00
Space group P4/mmm (No. 123)
One atom of each set of equivalent atoms:
Hf 0.000 0.000 0.000 (multiplicity 1)
Ta 0.500 0.500 0.000 (multiplicity 1)
Be 0.000 0.500 0.500 (multiplicity 2)
Pd 0.500 0.500 0.500 (multiplicity 1)

A plane-wave DFT calculation with PBE-GGA was carried out for an optimized crystal structure of HfBeZnPd2.

## Properties
Energy of formation from the pure elements, eV per atom: 0.9207
Mass density, g/cm3: 7.599
DFT total energy, eV/atom: -4.147
Crystal system: tetragonal
Total moment, Bohr magnetons per cell: 0.00

a b c (Å): 4.571 4.571 4.870
angles (deg): 90.00 90.00 90.00
Space group P4/mmm (No. 123)
One atom of each set of equivalent atoms:
Hf 0.000 0.000 0.000 (multiplicity 1)
Be 0.500 0.500 0.000 (multiplicity 1)
Zn 0.000 0.000 0.500 (multiplicity 1)
Pd 0.000 0.500 0.500 (multiplicity 2)

A plane-wave DFT calculation with PBE-GGA was carried out for an optimized crystal structure of PmHfBe17.

## Properties
Energy of formation from the pure elements, eV per atom: -0.1495
Mass density, g/cm3: 4.202
DFT total energy, eV/atom: -4.257
Crystal system: trigonal
Total moment, Bohr magnetons per cell: 0.00

a b c (Å): 7.6461 7.6461 11.1615
angles (deg): 90.00 90.00 120.00
Space group R3m (No. 160, hexagonal axes)
One atom of each set of equivalent atoms:
Pm 0.0000 0.0000 0.0000 (multiplicity 3)
Hf 0.0000 0.0000 0.6752 (multiplicity 3)
Be 0.0000 0.0000 0.2465 (multiplicity 3)
Be 0.0000 0.0000 0.4373 (multiplicity 3)
Be 0.0008 0.5004 0.4976 (multiplicity 9)
Be 0.0027 0.2830 0.3388 (multiplicity 18)
Be 0.0042 0.5021 0.1779 (multiplicity 9)
Be 0.1694 0.3387 0.1746 (multiplicity 9)

A plane-wave DFT calculation with PBE-GGA was carried out for an optimized crystal structure of PrHfBe17.

## Properties
Energy of formation from the pure elements, eV per atom: -0.1248
Mass density, g/cm3: 4.112
DFT total energy, eV/atom: -4.234
Crystal system: trigonal
Total moment, Bohr magnetons per cell: 0.00

a b c (Å): 7.6779 7.6779 11.2151
angles (deg): 90.00 90.00 120.00
Space group R3m (No. 160, hexagonal axes)
One atom of each set of equivalent atoms:
Pr 0.0000 0.0000 0.0000 (multiplicity 3)
Hf 0.0000 0.0000 0.3251 (multiplicity 3)
Be 0.0000 0.0000 0.5626 (multiplicity 3)
Be 0.0000 0.0000 0.7526 (multiplicity 3)
Be 0.0065 0.5032 0.1581 (multiplicity 9)
Be 0.0546 0.3848 0.3278 (multiplicity 18)
Be 0.1670 0.3339 0.8354 (multiplicity 9)
Be 0.1693 0.3387 0.1562 (multiplicity 9)

A plane-wave DFT calculation with PBE-GGA was carried out for an optimized crystal structure of HfBe17Pt.

## Properties
Energy of formation from the pure elements, eV per atom: -0.1963
Mass density, g/cm3: 5.142
DFT total energy, eV/atom: -4.372
Crystal system: trigonal
Total moment, Bohr magnetons per cell: 0.00

a b c (Å): 7.3946 7.3946 10.7779
angles (deg): 90.00 90.00 120.00
Space group R3m (No. 160, hexagonal axes)
One atom of each set of equivalent atoms:
Hf 0.0000 0.0000 0.0000 (multiplicity 3)
Be 0.0000 0.0000 0.5577 (multiplicity 3)
Be 0.0000 0.0000 0.7557 (multiplicity 3)
Be 0.0411 0.3687 0.3248 (multiplicity 18)
Be 0.1724 0.3447 0.8359 (multiplicity 9)
Be 0.1729 0.3457 0.1403 (multiplicity 9)
Be 0.1752 0.3505 0.4976 (multiplicity 9)
Pt 0.0000 0.0000 0.3212 (multiplicity 3)